4
Lattice="0.000 3.038 3.038 3.038 0.000 3.038 3.038 3.038 0.000" Properties=species:S:1:pos:R:3 comment="NaZn2Co | the Alexandria database | PBEsol | optimized geometry" formation_enthalpy_0k_ev_per_fu=1.339 mass_density_g_cm3=6.30 final_energy_ev_per_atom=-2.740 sg=Fm-3m pbc="T T T"
Na 0.000 0.000 0.000
Zn 1.519 1.519 1.519
Zn 4.557 4.557 4.557
Co 3.038 3.038 3.038